Record 1
{"formula": "CdGaPdRh", "functional": "PBE", "state": "optimized geometry", "lattice_angstrom": [[6.3249, 0.0000, 0.0000], [0.0000, 6.3249, 0.0000], [0.0000, 0.0000, 6.3249]], "species": ["Cd", "Cd", "Cd", "Cd", "Ga", "Ga", "Ga", "Ga", "Pd", "Pd", "Pd", "Pd", "Rh", "Rh", "Rh", "Rh"], "frac_coords": [[0.0000, 0.0000, 0.0000], [0.0000, 0.5000, 0.5000], [0.5000, 0.0000, 0.5000], [0.5000, 0.5000, 0.0000], [0.0000, 0.0000, 0.5000], [0.0000, 0.5000, 0.0000], [0.5000, 0.0000, 0.0000], [0.5000, 0.5000, 0.5000], [0.2500, 0.2500, 0.2500], [0.2500, 0.7500, 0.7500], [0.7500, 0.2500, 0.7500], [0.7500, 0.7500, 0.2500], [0.2500, 0.2500, 0.7500], [0.2500, 0.7500, 0.2500], [0.7500, 0.2500, 0.2500], [0.7500, 0.7500, 0.7500]], "energy_ha_per_atom": -0.16593, "m_tot_mub_per_cell": 0.00, "density_kg_m3": 10276, "ef_mev_per_atom": -394}

=====

Record 2
{"formula": "CrInCo2", "functional": "PBE", "state": "optimized geometry", "lattice_angstrom": [[6.1035, 0.0000, 0.0000], [0.0000, 6.1035, 0.0000], [0.0000, 0.0000, 6.1035]], "species": ["Cr", "Cr", "Cr", "Cr", "In", "In", "In", "In", "Co", "Co", "Co", "Co", "Co", "Co", "Co", "Co"], "frac_coords": [[0.0000, 0.0000, 0.0000], [0.0000, 0.5000, 0.5000], [0.5000, 0.0000, 0.5000], [0.5000, 0.5000, 0.0000], [0.2500, 0.2500, 0.7500], [0.2500, 0.7500, 0.2500], [0.7500, 0.2500, 0.2500], [0.7500, 0.7500, 0.7500], [0.0000, 0.0000, 0.5000], [0.0000, 0.5000, 0.0000], [0.2500, 0.2500, 0.2500], [0.2500, 0.7500, 0.7500], [0.5000, 0.0000, 0.0000], [0.5000, 0.5000, 0.5000], [0.7500, 0.2500, 0.7500], [0.7500, 0.7500, 0.2500]], "energy_ha_per_atom": -0.23085, "m_tot_mub_per_cell": 24.52, "density_kg_m3": 8316, "ef_mev_per_atom": 362}

=====

Record 3
{"formula": "MgSbBr2", "functional": "PBE", "state": "optimized geometry", "lattice_angstrom": [[3.6027, 0.0000, 0.0000], [-1.8013, 3.1200, 0.0000], [0.0000, 0.0000, 39.1101]], "species": ["Mg", "Mg", "Mg", "Sb", "Sb", "Sb", "Br", "Br", "Br", "Br", "Br", "Br"], "frac_coords": [[0.0000, 0.0000, 0.0000], [0.3333, 0.6667, 0.6667], [0.6667, 0.3333, 0.3333], [0.0000, 0.0000, 0.5000], [0.3333, 0.6667, 0.1667], [0.6667, 0.3333, 0.8333], [0.0000, 0.0000, 0.3744], [0.0000, 0.0000, 0.6256], [0.3333, 0.6667, 0.0411], [0.3333, 0.6667, 0.2922], [0.6667, 0.3333, 0.7078], [0.6667, 0.3333, 0.9589]], "energy_ha_per_atom": -0.11131, "m_tot_mub_per_cell": 0.00, "density_kg_m3": 3466, "de_polymorph_mev_per_atom": 0, "formation_energy_uncorrected_ev_per_atom": -0.7632}

=====

Record 4
{"formula": "Sc2MoPb", "functional": "PBE", "state": "optimized geometry", "lattice_angstrom": [[10.6425, 0.0000, 0.0000], [0.0000, 3.1967, 0.0000], [-1.2104, 0.0000, 5.0152]], "species": ["Sc", "Sc", "Sc", "Sc", "Mo", "Mo", "Pb", "Pb"], "frac_coords": [[0.0000, 0.0000, 0.0000], [0.2202, 0.0000, 0.6931], [0.5000, 0.5000, 0.0000], [0.7202, 0.5000, 0.6931], [0.4845, 0.0000, 0.4935], [0.9845, 0.5000, 0.4935], [0.2571, 0.5000, 0.2173], [0.7571, 0.0000, 0.2173]], "energy_ha_per_atom": -0.24597, "m_tot_mub_per_cell": 0.00, "density_kg_m3": 7651, "ef_mev_per_atom": 108}

=====

Record 5
{"formula": "ScBe3", "functional": "PBE", "state": "optimized geometry", "lattice_angstrom": [[2.7755, 0.0000, 0.0000], [0.0000, 2.7755, 0.0000], [0.0000, 0.0000, 6.0956]], "species": ["Sc", "Be", "Be", "Be"], "frac_coords": [[0.0000, 0.0000, 0.0000], [0.0000, 0.0000, 0.5000], [0.5000, 0.5000, 0.3132], [0.5000, 0.5000, 0.6868]], "energy_ha_per_atom": -0.15744, "m_tot_mub_per_cell": 0.00, "density_kg_m3": 2546, "ef_mev_per_atom": 93, "de_polymorph_mev_per_atom": 228}

=====

Record 6
{"formula": "Tb4SmDy3Se8", "functional": "PBE", "state": "optimized geometry", "lattice_angstrom": [[4.0984, 2.3662, 6.6934], [-4.0984, 2.3662, 6.6934], [0.0000, -4.7324, 6.6934]], "species": ["Tb", "Tb", "Tb", "Tb", "Sm", "Dy", "Dy", "Dy", "Se", "Se", "Se", "Se", "Se", "Se", "Se", "Se"], "frac_coords": [[0.0000, 0.0000, 0.0000], [0.0000, 0.5000, 0.5000], [0.5000, 0.0000, 0.5000], [0.5000, 0.5000, 0.0000], [0.5000, 0.5000, 0.5000], [0.0000, 0.0000, 0.5000], [0.0000, 0.5000, 0.0000], [0.5000, 0.0000, 0.0000], [0.2461, 0.7524, 0.7524], [0.2476, 0.2476, 0.7539], [0.2476, 0.7539, 0.2476], [0.2493, 0.2493, 0.2493], [0.7507, 0.7507, 0.7507], [0.7524, 0.2461, 0.7524], [0.7524, 0.7524, 0.2461], [0.7539, 0.2476, 0.2476]], "energy_ha_per_atom": -0.21391, "m_tot_mub_per_cell": 0.00, "density_kg_m3": 8123, "formation_energy_uncorrected_ev_per_atom": -1.7632}

=====

Record 7
{"formula": "Cd8CuPd5", "functional": "PBE", "state": "optimized geometry", "lattice_angstrom": [[-4.0413, 4.0413, 4.0772], [4.0413, -4.0413, 4.0772], [4.0413, 4.0413, -4.0772]], "species": ["Cd", "Cd", "Cd", "Cd", "Cd", "Cd", "Cd", "Cd", "Cu", "Pd", "Pd", "Pd", "Pd", "Pd"], "frac_coords": [[0.1095, 0.3662, 0.5978], [0.1390, 0.3982, 0.0844], [0.3138, 0.0546, 0.9156], [0.4883, 0.8905, 0.2567], [0.6018, 0.6862, 0.7408], [0.6338, 0.2315, 0.7433], [0.7685, 0.5117, 0.4022], [0.9454, 0.8610, 0.2592], [0.5000, 0.5000, 0.0000], [0.0173, 0.6652, 0.8907], [0.2500, 0.7500, 0.5000], [0.3348, 0.2255, 0.3520], [0.7745, 0.1265, 0.1093], [0.8735, 0.9827, 0.6480]], "energy_ha_per_atom": -0.10539, "m_tot_mub_per_cell": 0.00, "density_kg_m3": 9320, "ef_mev_per_atom": -198}

=====

Record 8
{"formula": "Rb2IrW", "functional": "PBE", "state": "optimized geometry", "lattice_angstrom": [[7.8842, 0.0000, 0.0000], [0.0000, 7.8842, 0.0000], [0.0000, 0.0000, 7.8842]], "species": ["Rb", "Rb", "Rb", "Rb", "Rb", "Rb", "Rb", "Rb", "Ir", "Ir", "Ir", "Ir", "W", "W", "W", "W"], "frac_coords": [[0.2500, 0.2500, 0.2500], [0.2500, 0.2500, 0.7500], [0.2500, 0.7500, 0.2500], [0.2500, 0.7500, 0.7500], [0.7500, 0.2500, 0.2500], [0.7500, 0.2500, 0.7500], [0.7500, 0.7500, 0.2500], [0.7500, 0.7500, 0.7500], [0.0000, 0.0000, 0.0000], [0.0000, 0.5000, 0.5000], [0.5000, 0.0000, 0.5000], [0.5000, 0.5000, 0.0000], [0.0000, 0.0000, 0.5000], [0.0000, 0.5000, 0.0000], [0.5000, 0.0000, 0.0000], [0.5000, 0.5000, 0.5000]], "energy_ha_per_atom": -0.12960, "m_tot_mub_per_cell": 16.70, "density_kg_m3": 7413, "ef_mev_per_atom": 2411, "de_polymorph_mev_per_atom": 1029}

=====

Record 9
{"formula": "PmUGa4", "functional": "PBE", "state": "optimized geometry", "lattice_angstrom": [[0.0000, 3.9336, 3.9336], [3.9336, 0.0000, 3.9336], [3.9336, 3.9336, 0.0000]], "species": ["Pm", "U", "Ga", "Ga", "Ga", "Ga"], "frac_coords": [[0.0000, 0.0000, 0.0000], [0.2500, 0.2500, 0.2500], [0.1262, 0.6246, 0.6246], [0.6246, 0.1262, 0.6246], [0.6246, 0.6246, 0.1262], [0.6246, 0.6246, 0.6246]], "energy_ha_per_atom": -0.18230, "m_tot_mub_per_cell": 3.16, "density_kg_m3": 9029, "ef_mev_per_atom": -270}

=====

Record 10
{"formula": "LaCuO3", "functional": "PBE", "state": "optimized geometry", "lattice_angstrom": [[2.7776, 1.6037, 5.0081], [-2.7776, 1.6037, 5.0081], [0.0000, -3.2073, 5.0081]], "species": ["La", "La", "Cu", "Cu", "O", "O", "O", "O", "O", "O"], "frac_coords": [[0.1234, 0.1234, 0.1234], [0.8766, 0.8766, 0.8766], [0.3423, 0.3423, 0.3423], [0.6577, 0.6577, 0.6577], [0.0554, 0.6911, 0.4787], [0.3089, 0.5213, 0.9446], [0.4787, 0.0554, 0.6911], [0.5213, 0.9446, 0.3089], [0.6911, 0.4787, 0.0554], [0.9446, 0.3089, 0.5213]], "energy_ha_per_atom": -0.23850, "m_tot_mub_per_cell": 0.00, "density_kg_m3": 6214, "formation_energy_uncorrected_ev_per_atom": -1.7102}

=====

Record 11
{"formula": "La4SbBr", "functional": "PBE", "state": "optimized geometry", "lattice_angstrom": [[0.0000, 4.6051, 4.6051], [4.6051, 0.0000, 4.6051], [4.6051, 4.6051, 0.0000]], "species": ["La", "La", "La", "La", "Sb", "Br"], "frac_coords": [[0.1230, 0.1230, 0.1230], [0.1230, 0.1230, 0.6310], [0.1230, 0.6310, 0.1230], [0.6310, 0.1230, 0.1230], [0.7500, 0.7500, 0.7500], [0.5000, 0.5000, 0.5000]], "energy_ha_per_atom": -0.16387, "m_tot_mub_per_cell": 0.00, "density_kg_m3": 6438, "formation_energy_uncorrected_ev_per_atom": -0.2082}

=====

Record 12
{"formula": "Li6Ga2Pt", "functional": "PBE", "state": "optimized geometry", "lattice_angstrom": [[3.8357, 2.2145, 2.5756], [-3.8357, 2.2145, 2.5756], [0.0000, -4.4291, 2.5756]], "species": ["Li", "Li", "Li", "Li", "Li", "Li", "Ga", "Ga", "Pt"], "frac_coords": [[0.0000, 0.3372, 0.6628], [0.0000, 0.6628, 0.3372], [0.3372, 0.0000, 0.6628], [0.3372, 0.6628, 0.0000], [0.6628, 0.0000, 0.3372], [0.6628, 0.3372, 0.0000], [0.1703, 0.1703, 0.1703], [0.8297, 0.8297, 0.8297], [0.5000, 0.5000, 0.5000]], "energy_ha_per_atom": -0.11045, "m_tot_mub_per_cell": 0.00, "density_kg_m3": 4760, "ef_mev_per_atom": -386, "de_polymorph_mev_per_atom": 0}

=====

Record 13
{"formula": "CaCr2Mo", "functional": "PBE", "state": "optimized geometry", "lattice_angstrom": [[2.9891, 0.0000, 0.0000], [0.0000, 3.6346, 0.0000], [-0.9698, 0.0000, 6.6686]], "species": ["Ca", "Cr", "Cr", "Mo"], "frac_coords": [[0.0000, 0.0000, 0.0000], [0.5412, 0.5000, 0.3269], [0.9040, 0.0000, 0.4737], [0.3762, 0.5000, 0.6460]], "energy_ha_per_atom": -0.27278, "m_tot_mub_per_cell": 0.00, "density_kg_m3": 5501, "ef_mev_per_atom": 597, "de_polymorph_mev_per_atom": 94}

=====

Record 14
{"formula": "SrLiYBr6", "functional": "PBE", "state": "optimized geometry", "lattice_angstrom": [[7.1502, 0.0000, 0.0000], [-3.5751, 6.1923, 0.0000], [0.0000, 0.0000, 13.4195]], "species": ["Sr", "Sr", "Li", "Li", "Y", "Y", "Br", "Br", "Br", "Br", "Br", "Br", "Br", "Br", "Br", "Br", "Br", "Br"], "frac_coords": [[0.0000, 0.0000, 0.0000], [0.0000, 0.0000, 0.5000], [0.3333, 0.6667, 0.2500], [0.6667, 0.3333, 0.7500], [0.3333, 0.6667, 0.7500], [0.6667, 0.3333, 0.2500], [0.0037, 0.3575, 0.1320], [0.0037, 0.6462, 0.3680], [0.3538, 0.3575, 0.3680], [0.3538, 0.9963, 0.1320], [0.3575, 0.0037, 0.6320], [0.3575, 0.3538, 0.8680], [0.6425, 0.6462, 0.1320], [0.6425, 0.9963, 0.3680], [0.6462, 0.0037, 0.8680], [0.6462, 0.6425, 0.6320], [0.9963, 0.3538, 0.6320], [0.9963, 0.6425, 0.8680]], "energy_ha_per_atom": -0.15071, "m_tot_mub_per_cell": 0.00, "density_kg_m3": 3705, "formation_energy_uncorrected_ev_per_atom": -1.8680}

=====

Record 15
{"formula": "TbPr3Nd7", "functional": "PBE", "state": "optimized geometry", "lattice_angstrom": [[5.9489, -5.1707, 0.0000], [5.9489, 5.1707, 0.0000], [-0.5508, 0.0000, 6.5321]], "species": ["Tb", "Pr", "Pr", "Pr", "Nd", "Nd", "Nd", "Nd", "Nd", "Nd", "Nd"], "frac_coords": [[0.0000, 0.0000, 0.0000], [0.3274, 0.6726, 0.5000], [0.5000, 0.5000, 0.0000], [0.6726, 0.3274, 0.5000], [0.0000, 0.0000, 0.5000], [0.0713, 0.4158, 0.7616], [0.2600, 0.2600, 0.2851], [0.4158, 0.0713, 0.7616], [0.5842, 0.9287, 0.2384], [0.7400, 0.7400, 0.7149], [0.9287, 0.5842, 0.2384]], "energy_ha_per_atom": -0.16680, "m_tot_mub_per_cell": 0.00, "density_kg_m3": 6576, "ef_mev_per_atom": 220, "de_polymorph_mev_per_atom": 57}

=====

Record 16
{"formula": "LuAlIr", "functional": "PBE", "state": "optimized geometry", "lattice_angstrom": [[4.4213, 0.0000, 0.0000], [-2.2106, 3.8289, 0.0000], [0.0000, 0.0000, 3.2975]], "species": ["Lu", "Al", "Ir"], "frac_coords": [[0.0000, 0.0000, 0.0000], [0.3333, 0.6667, 0.5000], [0.6667, 0.3333, 0.5000]], "energy_ha_per_atom": -0.23844, "m_tot_mub_per_cell": 0.00, "density_kg_m3": 11725, "ef_mev_per_atom": -780}

=====

Record 17
{"formula": "La2YAl", "functional": "PBE", "state": "optimized geometry", "lattice_angstrom": [[4.8628, 0.0000, 0.0000], [0.0000, 4.8628, 0.0000], [0.0000, 0.0000, 10.0022]], "species": ["La", "La", "La", "La", "Y", "Y", "Al", "Al"], "frac_coords": [[0.0000, 0.0000, 0.0000], [0.0000, 0.5000, 0.2500], [0.5000, 0.0000, 0.7500], [0.5000, 0.5000, 0.5000], [0.0000, 0.5000, 0.7500], [0.5000, 0.0000, 0.2500], [0.0000, 0.0000, 0.5000], [0.5000, 0.5000, 0.0000]], "energy_ha_per_atom": -0.18929, "m_tot_mub_per_cell": 0.00, "density_kg_m3": 5528, "ef_mev_per_atom": -136}

=====

Record 18
{"formula": "BaZr2Ru", "functional": "PBE", "state": "optimized geometry", "lattice_angstrom": [[4.2194, 0.0000, 0.0000], [0.0000, 4.2194, 0.0000], [0.0000, 0.0000, 10.3466]], "species": ["Ba", "Ba", "Zr", "Zr", "Zr", "Zr", "Ru", "Ru"], "frac_coords": [[0.0000, 0.0000, 0.0000], [0.5000, 0.5000, 0.5000], [0.0000, 0.0000, 0.5000], [0.0000, 0.5000, 0.2500], [0.5000, 0.0000, 0.7500], [0.5000, 0.5000, 0.0000], [0.0000, 0.5000, 0.7500], [0.5000, 0.0000, 0.2500]], "energy_ha_per_atom": -0.23345, "m_tot_mub_per_cell": 0.00, "density_kg_m3": 7588, "ef_mev_per_atom": 721, "de_polymorph_mev_per_atom": 642}

=====

Record 19
{"formula": "Hf2CrPtC", "functional": "PBE", "state": "optimized geometry", "lattice_angstrom": [[4.9769, 0.0000, 0.0000], [0.0000, 4.9769, 0.0000], [0.0000, 0.0000, 4.8000]], "species": ["Hf", "Hf", "Cr", "Pt", "C"], "frac_coords": [[0.0000, 0.5000, 0.0000], [0.5000, 0.0000, 0.0000], [0.0000, 0.0000, 0.5000], [0.0000, 0.0000, 0.0000], [0.5000, 0.5000, 0.5000]], "energy_ha_per_atom": -0.26949, "m_tot_mub_per_cell": 3.11, "density_kg_m3": 8604, "ef_mev_per_atom": 1626, "de_polymorph_mev_per_atom": 2264}

=====

Record 20
{"formula": "RbDyScBr6", "functional": "PBE", "state": "optimized geometry", "lattice_angstrom": [[7.1360, 0.0000, 0.0000], [-3.5680, 6.1799, 0.0000], [0.0000, 0.0000, 15.8344]], "species": ["Rb", "Rb", "Dy", "Dy", "Sc", "Sc", "Br", "Br", "Br", "Br", "Br", "Br", "Br", "Br", "Br", "Br", "Br", "Br"], "frac_coords": [[0.0000, 0.0000, 0.0000], [0.0000, 0.0000, 0.5000], [0.3333, 0.6667, 0.2500], [0.6667, 0.3333, 0.7500], [0.3333, 0.6667, 0.7500], [0.6667, 0.3333, 0.2500], [0.0069, 0.3699, 0.6472], [0.0069, 0.6370, 0.8528], [0.3630, 0.3699, 0.8528], [0.3630, 0.9931, 0.6472], [0.3699, 0.0069, 0.1472], [0.3699, 0.3630, 0.3528], [0.6301, 0.6370, 0.6472], [0.6301, 0.9931, 0.8528], [0.6370, 0.0069, 0.3528], [0.6370, 0.6301, 0.1472], [0.9931, 0.3630, 0.1472], [0.9931, 0.6301, 0.3528]], "energy_ha_per_atom": -0.15273, "m_tot_mub_per_cell": 2.05, "density_kg_m3": 3673, "formation_energy_uncorrected_ev_per_atom": -1.7183}